This record from Alexandria describes a relaxed Dy6Y4Zr crystal. The functional is PBE.

The energy is -0.2017 hartree per atom. Its crystal system is tetragonal. The formation energy from the elements comes out at 14.3 kJ/mol of atoms. The value obtained for the density of states at the Fermi level is 1.57 states/eV per atom.

The space group is P4/mnc (No. 128) and the conventional cell measures 8.752, 8.752 and 8.900 Å, with angles of 90.00, 90.00 and 90.00 degrees. The distinct sites, in fractional coordinates, are Dy at (0.000, 0.000, 0.174), Dy at (0.150, 0.346, 0.500), Y at (0.147, 0.647, 0.250) and Zr at (0.000, 0.000, 0.500).